The following is a DFT calculation (PBE) of an optimized crystal structure of Ce2NiGe3.

Cell and atoms, written as POSCAR:
```
Ce2NiGe3
1.0
-3.3601 -0.2028 2.4731
-2.6244 -6.7397 -4.1184
4.9411 -0.8457 6.6439
Ce Ni Ge
4 2 6
Direct
0.5000 0.0000 0.0000
0.5000 0.0000 0.5000
0.5000 0.5000 0.5000
0.5000 0.5000 0.0000
0.0000 0.6667 0.3333
0.0000 0.3333 0.6667
0.0000 0.8276 0.1724
0.0000 0.8276 0.6551
0.0000 0.3449 0.1725
0.0000 0.1724 0.8276
0.0000 0.6551 0.8276
0.0000 0.1725 0.3449
```

## Properties
E: -5.9626 eV/atom
total magnetization: 2.836 μB per cell
E_form: -0.712 eV per atom
E above lowest polymorph: 0 meV per atom